# 1
Crystalline Ac2PrDyS4 at its relaxed geometry. Source: Alexandria, functional PBE.

Summary:
Energy relative to the elements, uncorrected = -192.1 kJ per mole of atoms
Crystal system = monoclinic
Magnetization = 0.000 μB per formula unit

```
8
Lattice="7.162 0.000 0.000 0.000 4.093 0.000 -2.349 0.000 6.928" Properties=species:S:1:pos:R:3 pbc="T T T"
Ac 0.000 0.000 0.000
Ac 3.581 2.046 0.000
Pr -1.175 2.046 3.464
Dy 2.406 0.000 3.464
S 0.094 0.000 5.063
S 1.270 2.046 1.910
S 3.543 2.046 5.018
S 4.719 0.000 1.866
```

=====

# 2
Crystalline TmNp2S4 at its relaxed geometry. Source: Alexandria, functional PBE.

Summary:
ΔE to the lowest computed polymorph = 0 meV/atom
Energy relative to the elements, uncorrected = -148.8 kJ per mole of atoms
Crystal system = orthorhombic
Magnetization = 8.687 μB per formula unit

```
14
Lattice="1.885 -6.475 0.000 1.885 6.475 0.000 0.000 0.000 13.105" Properties=species:S:1:pos:R:3 pbc="T T T"
Tm 1.885 4.887 9.829
Tm 1.885 -4.887 3.276
Np 1.885 1.732 7.461
Np 1.885 1.732 12.197
Np 1.885 -1.732 0.909
Np 1.885 -1.732 5.644
S 0.000 0.000 0.000
S 0.000 0.000 6.553
S 1.885 2.850 1.647
S 1.885 2.850 4.906
S 1.885 0.356 9.829
S 1.885 -0.356 3.276
S 1.885 -2.850 8.199
S 1.885 -2.850 11.459
```

=====

Number 1: total energy -50.033 eV for the cell shown. Number 2: total energy -115.316 eV for the cell shown.